VASP calculation (PBEsol) on Ta2MnAu after structural relaxation.

Its calculated formation energy is 0.03 eV/atom. The value obtained for the electronic total energy is -9.6645 eV/atom. As for the density of states at the Fermi level: 4.4 states/eV per cell.

It has space group P4/mmm (No. 123), with a = 3.9207 Å, b = 3.9207 Å, c = 4.0687 Å, α = 90.00°, β = 90.00° and γ = 90.00°. The distinct sites, in fractional coordinates, are Ta at (0.0000, 0.5000, 0.0000), Mn at (0.0000, 0.0000, 0.5000) and Au at (0.5000, 0.5000, 0.5000).